Cd4NiBi (PBE-GGA, relaxed); calculated total energy = -2.174 eV/atom; space-group type = C2/m (12); DFT formation energy = 0.05 eV per atom
1.0
6.974 -4.084 0.000
6.974 4.084 0.000
-0.999 0.000 5.159
Cd Ni Bi
8 2 2
Cartesian
4.932 1.701 2.216
6.974 2.432 0.000
3.617 0.000 4.623
8.016 1.701 2.944
4.932 -1.701 2.216
9.331 0.000 0.536
6.974 -2.432 0.000
8.016 -1.701 2.944
6.715 0.000 1.223
6.233 0.000 3.936
2.220 0.000 1.515
10.728 0.000 3.644

CdNi2Bi (PBE-GGA, relaxed); calculated total energy = -3.675 eV/atom; space-group type = I-42d (122); DFT formation energy = 0.41 eV per atom; polymorph energy (0 for the lowest one) = 254 meV per atom
1.0
-3.581 3.581 2.944
3.581 -3.581 2.944
3.581 3.581 -2.944
Cd Ni Bi
2 4 2
Cartesian
0.000 0.000 0.000
0.000 3.581 1.472
1.791 -1.786 2.208
1.796 1.791 0.736
1.791 5.367 -0.736
1.786 1.791 3.680
3.581 0.000 1.472
0.000 0.000 2.944

Cd4Ni2Bi (PBE-GGA, relaxed); calculated total energy = -2.094 eV/atom; space-group type = I4/mmm (139); DFT formation energy = 0.63 eV per atom
1.0
-2.770 2.770 6.707
2.770 -2.770 6.707
2.770 2.770 -6.707
Cd Ni Bi
4 2 1
Cartesian
2.770 0.000 0.000
0.000 0.000 3.060
0.000 2.770 0.000
0.000 0.000 10.354
0.000 0.000 5.593
0.000 0.000 7.821
0.000 0.000 0.000

CdNiBi3 (PBE-GGA, relaxed); calculated total energy = -2.499 eV/atom; space-group type = Pm-3m (221); DFT formation energy = 1.17 eV per atom; polymorph energy (0 for the lowest one) = 885 meV per atom
1.0
5.597 0.000 0.000
0.000 5.597 0.000
0.000 0.000 5.597
Cd Ni Bi
1 1 3
Cartesian
0.000 0.000 0.000
2.798 2.798 2.798
0.000 0.000 2.798
0.000 2.798 0.000
2.798 0.000 0.000

CdNiBi3 (PBE-GGA, relaxed); calculated total energy = -3.384 eV/atom; space-group type = Pm-3m (221); DFT formation energy = 0.28 eV per atom; polymorph energy (0 for the lowest one) = 0 meV per atom
1.0
5.221 0.000 0.000
0.000 5.221 0.000
0.000 0.000 5.221
Cd Ni Bi
1 1 3
Cartesian
0.000 0.000 0.000
2.610 2.610 2.610
0.000 2.610 2.610
2.610 0.000 2.610
2.610 2.610 0.000

CdNi2Bi (PBE-GGA, relaxed); calculated total energy = -3.914 eV/atom; space-group type = P4/mmm (123); DFT formation energy = 0.18 eV per atom; polymorph energy (0 for the lowest one) = 15 meV per atom
1.0
3.297 0.000 0.000
0.000 3.297 0.000
0.000 0.000 6.354
Cd Ni Bi
1 2 1
Cartesian
0.000 0.000 0.000
1.648 1.648 1.462
1.648 1.648 4.892
0.000 0.000 3.177

CdNi2Bi (PBE-GGA, relaxed); calculated total energy = -3.929 eV/atom; space-group type = Fm-3m (225); DFT formation energy = 0.16 eV per atom; polymorph energy (0 for the lowest one) = 0 meV per atom
1.0
0.000 3.246 3.246
3.246 0.000 3.246
3.246 3.246 0.000
Cd Ni Bi
1 2 1
Cartesian
0.000 0.000 0.000
1.623 1.623 1.623
4.869 4.869 4.869
3.246 3.246 3.246

CdNi4Bi (PBE-GGA, relaxed); calculated total energy = -4.538 eV/atom; space-group type = F-43m (216); DFT formation energy = 0.12 eV per atom
1.0
0.000 3.543 3.543
3.543 0.000 3.543
3.543 3.543 0.000
Cd Ni Bi
1 4 1
Cartesian
0.000 0.000 0.000
4.433 2.652 2.652
2.652 4.433 2.652
2.652 2.652 4.433
4.433 4.433 4.433
1.771 1.771 1.771

Cd2NiBi2 (PBE-GGA, relaxed); calculated total energy = -2.767 eV/atom; space-group type = P4/mbm (127); DFT formation energy = 0.31 eV per atom; polymorph energy (0 for the lowest one) = 0 meV per atom
1.0
7.004 0.000 0.000
0.000 7.004 0.000
0.000 0.000 5.015
Cd Ni Bi
4 2 4
Cartesian
1.068 2.434 0.000
2.434 5.936 0.000
4.571 1.068 0.000
5.936 4.571 0.000
0.000 0.000 0.000
3.502 3.502 0.000
1.181 4.683 2.508
2.321 1.181 2.508
4.683 5.824 2.508
5.824 2.321 2.508

CdNi3Bi5 (PBE-GGA, relaxed); calculated total energy = -4.077 eV/atom; space-group type = C2/m (12); DFT formation energy = 0.11 eV per atom
1.0
5.897 -4.343 0.000
5.897 4.343 0.000
-3.811 0.000 8.842
Cd Ni Bi
2 6 10
Cartesian
-0.002 0.000 2.657
7.983 0.000 6.185
0.000 0.000 0.000
-1.906 0.000 4.421
2.702 0.000 2.827
0.771 0.000 7.331
7.210 0.000 1.512
5.279 0.000 6.015
2.602 2.578 3.090
2.614 0.000 0.218
5.897 1.776 0.000
5.379 2.578 5.753
2.669 0.000 5.568
5.313 0.000 3.275
2.602 -2.578 3.090
5.897 -1.776 0.000
5.368 0.000 8.625
5.379 -2.578 5.753

Cd3NiBi (PBE-GGA, relaxed); calculated total energy = -2.251 eV/atom; space-group type = Pm-3m (221); DFT formation energy = 0.23 eV per atom
1.0
4.981 0.000 0.000
0.000 4.981 0.000
0.000 0.000 4.981
Cd Ni Bi
3 1 1
Cartesian
0.000 0.000 2.491
0.000 2.491 0.000
2.491 0.000 0.000
0.000 0.000 0.000
2.491 2.491 2.491

Cd2NiBi2 (PBE-GGA, relaxed); calculated total energy = -2.407 eV/atom; space-group type = I4/mmm (139); DFT formation energy = 0.67 eV per atom; polymorph energy (0 for the lowest one) = 361 meV per atom
1.0
-2.223 2.223 7.297
2.223 -2.223 7.297
2.223 2.223 -7.297
Cd Ni Bi
2 1 2
Cartesian
0.000 0.000 1.331
0.000 0.000 13.263
0.000 0.000 7.297
2.223 0.000 3.649
0.000 2.223 3.649

PmCdNiBi (PBE-GGA, relaxed); calculated total energy = -3.966 eV/atom; space-group type = F-43m (216); DFT formation energy = -0.13 eV per atom
1.0
0.000 3.600 3.600
3.600 0.000 3.600
3.600 3.600 0.000
Pm Cd Ni Bi
1 1 1 1
Cartesian
0.000 0.000 0.000
5.399 5.399 5.399
1.800 1.800 1.800
3.600 3.600 3.600

CdNiBi2Pt (PBE-GGA, relaxed); calculated total energy = -3.715 eV/atom; space-group type = P4/mmm (123); DFT formation energy = 0.39 eV per atom
1.0
4.955 0.000 0.000
0.000 4.955 0.000
0.000 0.000 4.836
Cd Ni Bi Pt
1 1 2 1
Cartesian
0.000 0.000 0.000
0.000 0.000 2.418
0.000 2.477 2.418
2.477 0.000 2.418
2.477 2.477 0.000

CdNiBiRh (PBE-GGA, relaxed); calculated total energy = -4.410 eV/atom; space-group type = F-43m (216); DFT formation energy = 0.07 eV per atom
1.0
0.000 3.289 3.289
3.289 0.000 3.289
3.289 3.289 0.000
Cd Ni Bi Rh
1 1 1 1
Cartesian
0.000 0.000 0.000
4.933 4.933 4.933
3.289 3.289 3.289
1.644 1.644 1.644

SrCdNiBi2 (PBE-GGA, relaxed); calculated total energy = -3.420 eV/atom; space-group type = P4/mmm (123); DFT formation energy = -0.19 eV per atom
1.0
5.324 0.000 0.000
0.000 5.324 0.000
0.000 0.000 5.038
Sr Cd Ni Bi
1 1 1 2
Cartesian
0.000 0.000 0.000
2.662 2.662 0.000
2.662 2.662 2.519
0.000 2.662 2.519
2.662 0.000 2.519

Sr2CdNiBi (PBE-GGA, relaxed); calculated total energy = -2.272 eV/atom; space-group type = P4/mmm (123); DFT formation energy = 0.52 eV per atom
1.0
6.209 0.000 0.000
0.000 6.209 0.000
0.000 0.000 5.472
Sr Cd Ni Bi
2 1 1 1
Cartesian
0.000 3.104 0.000
3.104 0.000 0.000
0.000 0.000 0.000
3.104 3.104 2.736
0.000 0.000 2.736

TlCd2NiBi (PBE-GGA, relaxed); calculated total energy = -2.683 eV/atom; space-group type = P4/mmm (123); DFT formation energy = 0.09 eV per atom
1.0
5.126 0.000 0.000
0.000 5.126 0.000
0.000 0.000 5.032
Tl Cd Ni Bi
1 2 1 1
Cartesian
0.000 0.000 0.000
0.000 2.563 2.516
2.563 0.000 2.516
2.563 2.563 2.516
2.563 2.563 0.000

TlCdNiBi2 (PBE-GGA, relaxed); calculated total energy = -3.221 eV/atom; space-group type = P4/mmm (123); DFT formation energy = 0.14 eV per atom
1.0
5.250 0.000 0.000
0.000 5.250 0.000
0.000 0.000 5.072
Tl Cd Ni Bi
1 1 1 2
Cartesian
0.000 0.000 0.000
2.625 2.625 0.000
2.625 2.625 2.536
0.000 2.625 2.536
2.625 0.000 2.536

NpCd2Bi4 (PBE-GGA, relaxed); calculated total energy = -4.288 eV/atom; space-group type = Cmmm (65); DFT formation energy = 0.04 eV per atom
1.0
4.431 -4.931 0.000
4.431 4.931 0.000
0.000 0.000 4.817
Np Cd Bi
1 2 4
Cartesian
0.000 0.000 0.000
4.431 2.430 2.408
4.431 -2.430 2.408
2.216 2.465 0.000
2.358 0.000 2.408
2.216 -2.465 0.000
6.504 0.000 2.408

NpCdBi (PBE-GGA, relaxed); calculated total energy = -5.726 eV/atom; space-group type = I4mm (107); DFT formation energy = 0.19 eV per atom; polymorph energy (0 for the lowest one) = 128 meV per atom
1.0
-1.638 1.638 7.724
1.638 -1.638 7.724
1.638 1.638 -7.724
Np Cd Bi
1 1 1
Cartesian
0.000 0.000 0.000
0.000 0.000 5.293
0.000 0.000 10.243

Np2CdBi5 (PBE-GGA, relaxed); calculated total energy = -5.781 eV/atom; space-group type = Cmmm (65); DFT formation energy = -0.01 eV per atom
1.0
4.488 -5.098 0.000
4.488 5.098 0.000
0.000 0.000 4.993
Np Cd Bi
2 1 5
Cartesian
4.488 2.800 0.000
4.488 -2.800 0.000
4.488 0.000 2.497
0.000 0.000 2.497
2.244 2.549 2.497
2.506 0.000 0.000
2.244 -2.549 2.497
6.471 0.000 0.000

Np2Cd3Bi3 (PBE-GGA, relaxed); calculated total energy = -5.018 eV/atom; space-group type = Pmmm (47); DFT formation energy = 0.02 eV per atom
1.0
4.726 0.000 0.000
0.000 5.099 0.000
0.000 0.000 8.881
Np Cd Bi
2 3 3
Cartesian
0.000 0.000 2.187
0.000 0.000 6.695
0.000 2.550 4.441
2.363 2.550 2.337
2.363 2.550 6.544
0.000 2.550 0.000
2.363 0.000 0.000
2.363 0.000 4.441

NpCdBi (PBE-GGA, relaxed); calculated total energy = -5.745 eV/atom; space-group type = P-6m2 (187); DFT formation energy = 0.17 eV per atom; polymorph energy (0 for the lowest one) = 109 meV per atom
1.0
5.398 0.000 0.000
-2.699 4.675 0.000
0.000 0.000 3.193
Np Cd Bi
1 1 1
Cartesian
0.000 0.000 0.000
2.699 1.558 1.597
0.000 3.116 1.597

NpCd4Bi (PBE-GGA, relaxed); calculated total energy = -3.206 eV/atom; space-group type = F-43m (216); DFT formation energy = 0.21 eV per atom
1.0
0.000 4.252 4.252
4.252 0.000 4.252
4.252 4.252 0.000
Np Cd Bi
1 4 1
Cartesian
0.000 0.000 0.000
5.314 3.190 3.190
3.190 5.314 3.190
3.190 3.190 5.314
5.314 5.314 5.314
2.126 2.126 2.126

NpCdBi (PBE-GGA, relaxed); calculated total energy = -5.854 eV/atom; space-group type = R-3m (166); DFT formation energy = 0.06 eV per atom; polymorph energy (0 for the lowest one) = 0 meV per atom
1.0
1.796 1.037 13.778
-1.796 1.037 13.778
0.000 -2.074 13.778
Np Cd Bi
2 2 2
Cartesian
0.000 0.000 7.522
0.000 0.000 33.811
0.000 0.000 14.871
0.000 0.000 26.462
0.000 0.000 3.606
0.000 0.000 37.727